A relaxed structure of Y2Os2Au, computed with PBEsol.

Lattice parameters (Å, degrees): 3.5478 3.5478 8.8132 101.61 101.61 90.00
Closest atoms and distances in Å follow each position.
Positions (direct):
1 Y 0.6058 0.6058 0.2116  4 Os 3.01, 4 Au 3.08
2 Os 0.7500 0.2500 0.5000  4 Os 2.51
3 Au 0.0000 0.0000 0.0000  8 Y 3.08
4 Y 0.3942 0.3942 0.7884  4 Os 3.01, 4 Au 3.08
5 Os 0.2500 0.7500 0.5000  4 Os 2.51

Calculated values
Space-group type: I4/mmm, No. 139
DFT total energy, eV/atom: -8.4724